The following is a PBE calculation of a relaxed structure of Sn2PtAuS, from Alexandria. Values from VASP.

The calculation puts the raw formation energy at 0.526 eV/atom. The density of states at the Fermi level comes out at 3.0 states/eV per cell. Its space-group type is P4/mmm.

Cell and atoms, written as Quantum ESPRESSO input:
```
&SYSTEM
  ibrav = 0, nat = 5, ntyp = 4
/
ATOMIC_SPECIES
Sn 118.71 Sn.upf
Pt 195.08 Pt.upf
Au 196.97 Au.upf
S 32.06 S.upf
CELL_PARAMETERS angstrom
5.326 0.000 0.000
0.000 5.326 0.000
0.000 0.000 4.542
ATOMIC_POSITIONS angstrom
Sn 0.000 2.663 0.000
Sn 2.663 0.000 0.000
Pt 0.000 0.000 2.271
Au 2.663 2.663 2.271
S 2.663 2.663 0.000
```

The following is a PBE calculation of a relaxed structure of LuAuS2, from Alexandria. Values from VASP.

The calculation puts the raw formation energy at -1.295 eV/atom. The density of states at the Fermi level comes out at 0.0 states/eV per cell. Its space-group type is R-3m.

Cell and atoms, written as Quantum ESPRESSO input:
```
&SYSTEM
  ibrav = 0, nat = 12, ntyp = 3
/
ATOMIC_SPECIES
Lu 174.97 Lu.upf
Au 196.97 Au.upf
S 32.06 S.upf
CELL_PARAMETERS angstrom
4.011 0.000 0.000
-2.006 3.474 0.000
0.000 0.000 22.087
ATOMIC_POSITIONS angstrom
Lu 0.000 0.000 0.000
Lu 0.000 2.316 14.724
Lu 2.006 1.158 7.362
Au 0.000 0.000 11.043
Au 0.000 2.316 3.681
Au 2.006 1.158 18.405
S 0.000 0.000 8.734
S 0.000 0.000 13.353
S 0.000 2.316 1.372
S 0.000 2.316 5.990
S 2.006 1.158 16.096
S 2.006 1.158 20.715
```